Sc5Ga3, PBEsol geometry, DFT meta-GGA SCAN; calculated total energy = -15.64 eV per atom; calculated formation energy = -0.61 eV/atom; SG = P6_3/mcm, No. 193
1.0
5.849 0.000 0.000
0.000 8.007 0.000
0.000 -4.003 6.934
Sc Ga
10 6
Direct
0.500 0.333 0.667
0.000 0.667 0.333
0.500 0.667 0.333
0.000 0.333 0.667
0.250 0.000 0.759
0.750 0.759 0.759
0.750 0.241 0.000
0.250 0.759 0.000
0.250 0.241 0.241
0.750 0.000 0.241
0.250 0.000 0.400
0.750 0.400 0.400
0.750 0.600 0.000
0.250 0.400 0.000
0.250 0.600 0.600
0.750 0.000 0.600